Record 1
Material: Al2RhPb
Method: DFT, PBE
State: optimized geometry

As for the volume: 73.1 Å³/cell. The calculation puts the energy of formation from the pure elements at 0.028 eV/atom. The density of states at the Fermi level comes out at 1.8 states/eV per cell.

a b c (Å): 3.2337 5.2385 5.5634
angles (deg): 50.91 90.00 90.00
Fractional coordinates of all 4 atoms:
Pb 0.5000 0.5000 0.5000
Rh 0.0000 0.0000 0.5000
Al 0.0000 0.0000 0.0000
Al 0.5000 0.5000 0.0000


Record 2
Material: BaAlGaAu3
Method: DFT, PBE
State: optimized geometry

As for the volume: 306.2 Å³/cell. The calculation puts the energy of formation from the pure elements at -0.499 eV/atom. The density of states at the Fermi level comes out at 4.9 states/eV per cell.

a b c (Å): 6.7152 6.9079 7.4504
angles (deg): 117.62 90.00 90.00
Fractional coordinates of all 12 atoms:
Ba 0.7500 0.2661 0.5322
Ba 0.2500 0.7339 0.4678
Al 0.2500 0.0255 0.0510
Al 0.7500 0.9745 0.9490
Ga 0.2500 0.4050 0.8101
Ga 0.7500 0.5950 0.1899
Au 0.2500 0.2141 0.4282
Au 0.0000 0.2769 0.0000
Au 0.5000 0.7231 0.0000
Au 0.5000 0.2769 0.0000
Au 0.0000 0.7231 0.0000
Au 0.7500 0.7859 0.5718


Record 3
Material: SiHS3
Method: DFT, PBE
State: optimized geometry

As for the volume: 68.3 Å³/cell. The value obtained for the energy relative to the lowest polymorph listed for this composition is 5.68 eV per formula unit. The density of states at the Fermi level comes out at 3.9 states/eV per cell.

a b c (Å): 4.0881 4.0881 4.0881
angles (deg): 90.00 90.00 90.00
Fractional coordinates of all 5 atoms:
H 0.0000 0.0000 0.0000
S 0.0000 0.5000 0.0000
S 0.0000 0.0000 0.5000
S 0.5000 0.0000 0.0000
Si 0.5000 0.5000 0.5000


Record 4
Material: FeAg2GeIr
Method: DFT, PBE
State: optimized geometry

As for the volume: 97.3 Å³/cell. The calculation puts the energy of formation from the pure elements at 1.238 eV/atom. The density of states at the Fermi level comes out at 5.8 states/eV per cell.

a b c (Å): 4.6762 4.4499 4.6762
angles (deg): 90.00 90.00 90.00
Each line ends with the local moment (μB).
Fractional coordinates of all 5 atoms:
Ge 0.0000 0.0000 0.0000  -0.09
Ir 0.5000 0.5000 0.5000  0.48
Fe 0.0000 0.5000 0.0000  2.73
Ag 0.0000 0.0000 0.5000  -0.02
Ag 0.5000 0.0000 0.0000  0.00


Record 5
Material: TaTlO3
Method: DFT, PBE
State: optimized geometry

As for the volume: 73.4 Å³/cell. The density of states at the Fermi level comes out at 5.1 states/eV per cell. As for the uncorrected formation energy: 459.1 meV/atom.

a b c (Å): 4.1874 4.1874 4.1874
angles (deg): 90.00 90.00 90.00
Each line ends with the local moment (μB).
Fractional coordinates of all 5 atoms:
Tl 0.0000 0.0000 0.0000  -0.01
O 0.0000 0.5000 0.0000  -0.12
O 0.0000 0.0000 0.5000  -0.06
O 0.5000 0.0000 0.0000  -0.09
Ta 0.5000 0.5000 0.5000  1.73